*one*
Tb4Rh | PBE | relaxed

Lattice parameters (Å, degrees): 7.6258 7.6258 7.6258 60.00 60.00 60.00
With the nearest neighbours (Å) after each atom.
Positions (direct):
Tb  0.8612  0.8612  0.8612  1 Rh 2.59
Tb  0.8612  0.4164  0.8612  1 Rh 2.59
Tb  0.8612  0.8612  0.4164  1 Rh 2.59
Tb  0.3888  0.8336  0.3888  1 Rh 2.59
Tb  0.3888  0.3888  0.3888  1 Rh 2.59
Tb  0.4164  0.8612  0.8612  1 Rh 2.59
Tb  0.3888  0.3888  0.8336  1 Rh 2.59
Tb  0.8336  0.3888  0.3888  1 Rh 2.59
Rh  0.2500  0.2500  0.2500  4 Tb 2.59
Rh  0.0000  0.0000  0.0000  4 Tb 2.59

space-group type = Fd-3m, No. 227

*two*
Tb4Rh | PBE | relaxed

Lattice parameters (Å, degrees): 5.4275 5.4275 5.4275 90.00 90.00 90.00
With the nearest neighbours (Å) after each atom.
Positions (direct):
Tb  0.0000  0.0000  0.0000  12 Tb 3.84
Tb  0.5000  0.0000  0.5000  2 Rh 2.71
Tb  0.0000  0.5000  0.5000  2 Rh 2.71
Tb  0.5000  0.5000  0.0000  2 Rh 2.71
Rh  0.5000  0.5000  0.5000  6 Tb 2.71

space-group type = Pm-3m, No. 221

*three*
Tb4Rh | PBE | relaxed

Lattice parameters (Å, degrees): 7.2904 7.2904 7.2909 107.76 107.76 112.94
With the nearest neighbours (Å) after each atom.
Positions (direct):
Tb  0.6434  0.4663  0.7783  1 Rh 2.68
Tb  0.6879  0.8650  0.2217  1 Rh 2.68
Tb  0.7957  0.0177  0.8232  1 Rh 2.68
Tb  0.1946  0.9726  0.1768  1 Rh 2.68
Tb  0.2677  0.5457  0.3232  1 Rh 2.68
Tb  0.2226  0.9446  0.6768  1 Rh 2.68
Tb  0.1150  0.4379  0.7217  1 Rh 2.68
Tb  0.7163  0.3934  0.2783  1 Rh 2.68
Rh  0.3304  0.3304  0.0000  4 Tb 2.68
Rh  0.5805  0.0805  0.5000  4 Tb 2.68

space-group type = I-42d, No. 122

Which is most stable? The ranking, best first, is *three*, *two*, *one*.